Zn3FeO4: relaxed, PBE+U.

Cell and atoms, written as extended XYZ:
```
8
Lattice="3.3043 0.0000 0.0000 0.0000 5.5500 -1.1029 0.0000 -0.6419 5.6220" Properties=species:S:1:pos:R:3 pbc="T T T"
Zn 1.6522 2.3533 -0.1725
Zn 1.6522 4.8861 2.1595
Zn 0.0000 5.1240 -0.6402
Fe 0.0000 2.1379 2.6028
O 0.0000 4.1105 3.0166
O 1.6522 4.3426 0.2084
O 1.6522 1.3069 3.5054
O 0.0000 1.5631 0.6710
```

Summary:
- crystal system = orthorhombic
- calculated total energy (eV per atom) = -5.05
- SG = Amm2